# 1
## Ca2Ho2Hg3 (GGA-PBE)

Data for a relaxed structure of Ca2Ho2Hg3.

**Energy of formation from the pure elements**: -0.394 eV/atom
**Space-group type**: R-3m
**Raw total energy**: -2.403 eV/atom
**Density of states at the Fermi level**: 0.797 states/eV/atom

```
7
Lattice="-1.9999 3.3209 -3.4327 -2.6351 -4.2572 1.3217 -1.6389 3.6090 8.3512" Properties=species:S:1:pos:R:3 pbc="T T T"
Ho -2.7008 1.3530 -1.0228
Hg -3.3540 -0.6691 1.3069
Hg -2.9198 3.3418 4.9333
Hg 0.0000 0.0000 0.0000
Ho -3.5730 1.3197 7.2630
Ca -4.8072 0.9968 3.7643
Ca -1.4666 1.6759 2.4759
```

***

# 2
## Ca2HoHg8 (GGA-PBE)

Data for a relaxed structure of Ca2HoHg8.

**Energy of formation from the pure elements**: -0.337 eV/atom
**Space-group type**: C2/m
**Raw total energy**: -1.336 eV/atom
**Density of states at the Fermi level**: 0.613 states/eV/atom

```
11
Lattice="0.6562 2.6925 -4.3589 6.7068 -3.6618 -1.2523 -7.1028 -4.5319 -0.8081" Properties=species:S:1:pos:R:3 pbc="T T T"
Hg -1.1716 -4.3663 -2.8734
Hg 4.0651 -2.5664 -4.0337
Hg -1.0286 -1.5102 -1.0877
Ca 1.9211 -3.9357 -2.1419
Ho 0.3281 1.3462 -2.1795
Hg 2.0199 -1.1039 -0.3778
Hg 1.2887 -3.9910 -5.3317
Hg -1.7598 -4.3973 -6.0415
Ca -1.6610 -1.5655 -4.2775
Hg 1.4317 -1.1349 -3.5459
Hg -3.8050 -2.9348 -2.3856
```

***

# 3
## CaHo2Hg (GGA-PBE)

Data for a relaxed structure of CaHo2Hg.

**Energy of formation from the pure elements**: 0.038 eV/atom
**Space-group type**: R-3m
**Raw total energy**: -2.827 eV/atom
**Density of states at the Fermi level**: 1.344 states/eV/atom

```
4
Lattice="-2.3007 2.2839 1.6004 -3.1655 0.7710 -1.5673 -6.6895 -7.7511 5.5282" Properties=species:S:1:pos:R:3 pbc="T T T"
Ca 0.0000 0.0000 0.0000
Hg -6.0779 -2.3481 2.7807
Ho -5.2462 -5.1508 3.8923
Ho -6.9095 0.4546 1.6691
```

***

# 4
## CaHo3Hg2 (GGA-PBE)

Data for a relaxed structure of CaHo3Hg2.

**Energy of formation from the pure elements**: -0.355 eV/atom
**Space-group type**: Pmc2_1
**Raw total energy**: -3.078 eV/atom
**Density of states at the Fermi level**: 0.983 states/eV/atom

```
12
Lattice="5.1139 0.0000 0.0000 0.0000 7.1342 0.0000 0.0000 0.0000 9.2430" Properties=species:S:1:pos:R:3 pbc="T T T"
Ho 2.5570 1.1530 7.6388
Ca 2.5570 3.6965 5.1548
Ho 0.0000 5.9723 6.2402
Hg 2.5570 5.2857 7.8885
Hg 0.0000 1.8419 6.0235
Ho 0.0000 7.0202 0.5382
Ho 0.0000 3.4531 8.7048
Hg 2.5570 1.7186 1.3545
Ca 2.5570 0.1294 4.0883
Hg 0.0000 5.4090 3.2196
Ho 2.5570 4.7201 1.6043
Ho 0.0000 2.4052 3.0029
```

***

# 5
## CaHoHg4 (GGA-PBE)

Data for a relaxed structure of CaHoHg4.

**Energy of formation from the pure elements**: -0.410 eV/atom
**Space-group type**: Cmmm
**Raw total energy**: -1.708 eV/atom
**Density of states at the Fermi level**: 0.462 states/eV/atom

```
6
Lattice="-3.2665 0.6100 -3.6647 -1.4366 0.4468 4.7129 -3.1905 8.0001 0.8543" Properties=species:S:1:pos:R:3 pbc="T T T"
Hg -4.0398 2.6290 2.3771
Hg -4.6484 2.6823 -0.4100
Hg -3.8426 6.3975 -0.5129
Ca -3.0262 4.4314 5.1210
Ho -5.5363 8.5131 1.3594
Hg -3.2340 6.3441 2.2742
```

***

# 6
## Ca5HoHg6 (GGA-PBE)

Data for a relaxed structure of Ca5HoHg6.

**Energy of formation from the pure elements**: -0.545 eV/atom
**Space-group type**: C2/m
**Raw total energy**: -1.912 eV/atom
**Density of states at the Fermi level**: 0.606 states/eV/atom

```
12
Lattice="-4.4182 -2.8515 0.9044 1.8118 -4.6069 -5.6748 2.7430 -8.4012 2.7020" Properties=species:S:1:pos:R:3 pbc="T T T"
Hg -1.7261 -7.8608 -1.7343
Ca 0.9059 -2.3034 -2.8374
Ca -0.8487 -8.2341 1.4188
Ca 0.0268 -5.2643 -0.7134
Hg -0.8218 -4.9536 -3.8933
Ho 0.0000 0.0000 0.0000
Hg 0.9583 -10.9059 1.8249
Hg -2.6577 -5.4921 1.1834
Ca 0.9853 -7.6254 -3.4872
Hg 1.8626 -7.9987 -0.3341
Ca 0.1097 -10.5952 -1.3550
Hg 2.7942 -10.3674 -3.2518
```

***

# 7
## CaHoHg2 (GGA-PBE)

Data for a relaxed structure of CaHoHg2.

**Energy of formation from the pure elements**: -0.534 eV/atom
**Space-group type**: P4/mmm
**Raw total energy**: -2.330 eV/atom
**Density of states at the Fermi level**: 0.476 states/eV/atom

```
4
Lattice="3.7251 0.0000 0.0000 0.0000 5.2887 0.0000 0.0000 0.0000 5.2887" Properties=species:S:1:pos:R:3 pbc="T T T"
Hg 0.0000 0.0000 2.6443
Ca 1.8626 0.0000 0.0000
Hg 0.0000 2.6443 0.0000
Ho 1.8626 2.6443 2.6443
```

***

# 8
## CaHo2Hg8 (GGA-PBE)

Data for a relaxed structure of CaHo2Hg8.

**Energy of formation from the pure elements**: -0.308 eV/atom
**Space-group type**: Immm
**Raw total energy**: -1.542 eV/atom
**Density of states at the Fermi level**: 0.487 states/eV/atom

```
11
Lattice="-0.5526 -4.5867 2.1422 7.1547 -0.7347 0.2727 -3.2354 5.8381 5.6126" Properties=species:S:1:pos:R:3 pbc="T T T"
Hg 1.7505 -1.5320 3.2239
Hg 4.8914 -1.8546 3.3435
Hg -1.5247 2.3714 4.6840
Hg -1.6882 1.0357 7.8346
Ca -0.2763 -2.2933 1.0711
Hg 1.6162 2.0488 4.8036
Ho 3.6022 0.8300 2.7064
Hg 0.0214 1.0098 2.1677
Ho -0.2355 -0.3133 5.3211
Hg 5.0549 -0.5189 0.1930
Hg 3.3453 -0.4931 5.8599
```

***

# 9
## CaHo4Hg5 (GGA-PBE)

Data for a relaxed structure of CaHo4Hg5.

**Energy of formation from the pure elements**: -0.503 eV/atom
**Space-group type**: P4/mmm
**Raw total energy**: -2.685 eV/atom
**Density of states at the Fermi level**: 0.721 states/eV/atom

```
10
Lattice="-1.1980 1.5756 -3.1383 -3.4035 -1.3376 0.6277 -4.3612 15.5401 9.4666" Properties=species:S:1:pos:R:3 pbc="T T T"
Hg -3.6189 4.8159 1.6059
Hg -5.3438 10.9621 5.3500
Ho -0.8854 3.1548 1.9218
Hg -4.4813 7.8890 3.4780
Ho -2.6128 9.3103 5.6715
Hg -6.1915 13.9826 7.1900
Ho -1.7483 6.2298 3.7950
Hg -2.7712 1.7954 -0.2341
Ho -3.4758 12.3852 7.5447
Ca 0.0000 0.0000 0.0000
```

***

# 10
## CaHoHg2 (GGA-PBE)

Data for a relaxed structure of CaHoHg2.

**Energy of formation from the pure elements**: -0.365 eV/atom
**Space-group type**: R3m
**Raw total energy**: -2.161 eV/atom
**Density of states at the Fermi level**: 0.645 states/eV/atom

```
4
Lattice="-0.8375 3.3538 -1.8017 -3.6796 0.8088 -1.0010 -2.7810 5.2749 6.8948" Properties=species:S:1:pos:R:3 pbc="T T T"
Ho -3.6487 4.7175 2.0436
Hg -1.8349 2.3910 1.0868
Ca -3.0123 2.7777 -1.8631
Hg -2.4513 4.2699 4.8708
```

***

# 11
## CaHoHg (GGA-PBE)

Data for a relaxed structure of CaHoHg.

**Energy of formation from the pure elements**: -0.180 eV/atom
**Space-group type**: P3m1
**Raw total energy**: -2.474 eV/atom
**Density of states at the Fermi level**: 0.934 states/eV/atom

```
3
Lattice="-0.0026 3.7859 0.6519 -5.1805 -0.0295 0.1505 2.7231 -0.7465 4.3461" Properties=species:S:1:pos:R:3 pbc="T T T"
Ho -0.0003 0.3703 0.0638
Hg 0.0878 0.5428 3.1285
Ca -2.5476 2.0968 1.9563
```

***

# 12
## CaHoHg (GGA-PBE)

Data for a relaxed structure of CaHoHg.

**Energy of formation from the pure elements**: -0.153 eV/atom
**Space-group type**: F-43m
**Raw total energy**: -2.446 eV/atom
**Density of states at the Fermi level**: 1.563 states/eV/atom

```
3
Lattice="5.1468 -0.0358 -0.0504 -2.5457 4.4734 0.0504 -2.5468 -1.4883 4.2162" Properties=species:S:1:pos:R:3 pbc="T T T"
Hg 0.0240 -0.0141 2.7997
Ca 0.0516 2.9509 3.8661
Ho 2.5973 1.4586 1.7328
```

***

The records above yield volume values of 29.02 25.69 32.39 28.10 25.06 26.80 26.05 25.07 25.76 29.06 29.79 32.10 Å³/atom, respectively.